Arrangement one

First-principles (PBE) data for a relaxed structure of CdSnC2, as listed in Alexandria.

Total magnetic moment   0.00 μB/f.u.

Cell and atoms, written as POSCAR:
```
CdSnC2
1.0
0.000 3.061 3.061
3.061 0.000 3.061
3.061 3.061 0.000
C Sn Cd
2 1 1
Direct
0.250 0.250 0.250 C
0.750 0.750 0.750 C
0.500 0.500 0.500 Sn
0.000 0.000 0.000 Cd
```

***

Arrangement two

First-principles (PBE) data for a relaxed structure of CdSnC2, as listed in Alexandria.

Total magnetic moment   0.00 μB/f.u.

Cell and atoms, written as POSCAR:
```
CdSnC2
1.0
-1.332 4.245 -2.727
-5.045 -1.146 0.681
-3.232 4.256 3.211
C Sn Cd
4 2 2
Direct
0.642 0.125 0.250 C
0.108 0.625 0.250 C
0.375 0.358 0.750 C
0.875 0.892 0.750 C
0.000 0.000 0.000 Sn
0.750 0.250 0.500 Sn
0.500 0.500 0.000 Cd
0.250 0.750 0.500 Cd
```

***

Going by the computed energies, the most stable comes first: arrangement two, arrangement one.

***

Arrangement one

First-principles (PBE) data for a relaxed structure of Cd3SnC, as listed in Alexandria.

Total magnetic moment   2.77 μB/f.u.

Cell and atoms, written as POSCAR:
```
Cd3SnC
1.0
-4.731 0.638 2.966
-0.424 -5.580 0.524
3.004 0.217 4.745
C Sn Cd
1 1 3
Direct
0.500 0.500 0.500 C
0.000 0.000 0.000 Sn
0.000 0.500 0.000 Cd
0.000 0.000 0.500 Cd
0.500 0.000 0.000 Cd
```

***

Arrangement two

First-principles (PBE) data for a relaxed structure of Cd3SnC, as listed in Alexandria.

Total magnetic moment   0.00 μB/f.u.

Cell and atoms, written as POSCAR:
```
Cd3SnC
1.0
-2.938 3.304 1.700
-3.492 -1.714 -2.703
-1.270 -2.930 3.499
C Sn Cd
1 1 3
Direct
0.000 0.000 0.000 C
0.500 0.500 0.500 Sn
0.000 0.500 0.000 Cd
0.000 0.000 0.500 Cd
0.500 0.000 0.000 Cd
```

***

Going by the computed energies, the most stable comes first: arrangement two, arrangement one.

***

Arrangement one

First-principles (PBE) data for a relaxed structure of CdSn2C, as listed in Alexandria.

Total magnetic moment   0.00 μB/f.u.

Cell and atoms, written as POSCAR:
```
CdSn2C
1.0
-0.804 5.261 3.075
-3.437 -2.952 4.153
2.091 0.170 6.400
C Sn Cd
2 4 2
Direct
0.500 0.500 0.000 C
0.250 0.750 0.500 C
0.540 0.125 0.250 Sn
0.210 0.625 0.250 Sn
0.375 0.460 0.750 Sn
0.875 0.790 0.750 Sn
0.000 0.000 0.000 Cd
0.750 0.250 0.500 Cd
```

***

Arrangement two

First-principles (PBE) data for a relaxed structure of CdSn2C, as listed in Alexandria.

Total magnetic moment   0.00 μB/f.u.

Cell and atoms, written as POSCAR:
```
CdSn2C
1.0
-3.346 -1.689 3.176
-3.714 2.885 1.421
-4.572 -0.952 -1.524
C Sn Cd
1 2 1
Direct
0.000 0.000 0.000 C
0.250 0.250 0.250 Sn
0.750 0.750 0.750 Sn
0.500 0.500 0.500 Cd
```

***

Going by the computed energies, the most stable comes first: arrangement one, arrangement two.

***

Arrangement one

First-principles (PBE) data for a relaxed structure of CdSn3C, as listed in Alexandria.

Total magnetic moment   0.00 μB/f.u.

Cell and atoms, written as POSCAR:
```
CdSn3C
1.0
4.835 0.000 0.000
0.000 4.835 0.000
0.000 0.000 4.835
C Sn Cd
1 3 1
Direct
0.000 0.000 0.000 C
0.000 0.500 0.000 Sn
0.000 0.000 0.500 Sn
0.500 0.000 0.000 Sn
0.500 0.500 0.500 Cd
```

***

Arrangement two

First-principles (PBE) data for a relaxed structure of CdSn3C, as listed in Alexandria.

Total magnetic moment   1.37 μB/f.u.

Cell and atoms, written as POSCAR:
```
CdSn3C
1.0
-2.708 -4.229 2.257
4.308 -3.284 -0.983
2.101 1.283 4.924
C Sn Cd
1 3 1
Direct
0.500 0.500 0.500 C
0.000 0.500 0.000 Sn
0.000 0.000 0.500 Sn
0.500 0.000 0.000 Sn
0.000 0.000 0.000 Cd
```

***

Going by the computed energies, the most stable comes first: arrangement one, arrangement two.

***

Arrangement one

First-principles (PBE) data for a relaxed structure of SrCd3C, as listed in Alexandria.

Total magnetic moment   0.00 μB/f.u.

Cell and atoms, written as POSCAR:
```
SrCd3C
1.0
-3.344 -1.613 3.235
2.725 -4.020 0.812
2.375 2.342 3.623
Sr C Cd
1 1 3
Direct
0.500 0.500 0.500 Sr
0.000 0.000 0.000 C
0.000 0.500 0.000 Cd
0.000 0.000 0.500 Cd
0.500 0.000 0.000 Cd
```

***

Arrangement two

First-principles (PBE) data for a relaxed structure of SrCd3C, as listed in Alexandria.

Total magnetic moment   2.82 μB/f.u.

Cell and atoms, written as POSCAR:
```
SrCd3C
1.0
-6.417 1.715 0.843
-1.886 -5.207 -3.764
-0.308 -3.845 5.473
Sr C Cd
1 1 3
Direct
0.000 0.000 0.000 Sr
0.500 0.500 0.500 C
0.000 0.500 0.000 Cd
0.000 0.000 0.500 Cd
0.500 0.000 0.000 Cd
```

***

Going by the computed energies, the most stable comes first: arrangement one, arrangement two.

***

Arrangement one

First-principles (PBE) data for a relaxed structure of Tb4Cd2C, as listed in Alexandria.

Total magnetic moment   0.00 μB/f.u.

Cell and atoms, written as POSCAR:
```
Tb4Cd2C
1.0
-2.755 -1.523 -3.841
2.369 -4.364 0.031
-5.323 -5.694 2.866
C Tb Cd
1 4 2
Direct
0.000 0.000 0.000 C
0.836 0.836 0.327 Tb
0.164 0.164 0.673 Tb
0.000 0.500 0.000 Tb
0.500 0.000 0.000 Tb
0.632 0.632 0.737 Cd
0.368 0.368 0.263 Cd
```

***

Arrangement two

First-principles (PBE) data for a relaxed structure of Tb4Cd2C, as listed in Alexandria.

Total magnetic moment   1.14 μB/f.u.

Cell and atoms, written as POSCAR:
```
Tb4Cd2C
1.0
-0.364 2.993 -1.897
0.418 -4.849 -7.730
-5.754 1.170 2.951
Tb Cd C
4 2 1
Direct
0.500 0.045 0.807 Tb
0.000 0.391 0.251 Tb
0.500 0.098 0.336 Tb
0.000 0.752 0.892 Tb
0.500 0.420 0.830 Cd
0.500 0.723 0.313 Cd
0.000 0.071 0.071 C
```

***

Going by the computed energies, the most stable comes first: arrangement one, arrangement two.

***

Arrangement one

First-principles (PBE) data for a relaxed structure of CdTcC3, as listed in Alexandria.

Total magnetic moment   0.00 μB/f.u.

Cell and atoms, written as POSCAR:
```
CdTcC3
1.0
4.098 0.000 0.000
0.000 4.098 0.000
0.000 0.000 4.098
C Tc Cd
3 1 1
Direct
0.000 0.500 0.000 C
0.000 0.000 0.500 C
0.500 0.000 0.000 C
0.500 0.500 0.500 Tc
0.000 0.000 0.000 Cd
```

***

Arrangement two

First-principles (PBE) data for a relaxed structure of CdTcC3, as listed in Alexandria.

Total magnetic moment   0.00 μB/f.u.

Cell and atoms, written as POSCAR:
```
CdTcC3
1.0
4.068 0.000 0.000
0.000 4.068 0.000
0.000 0.000 4.068
C Tc Cd
3 1 1
Direct
0.000 0.500 0.000 C
0.000 0.000 0.500 C
0.500 0.000 0.000 C
0.000 0.000 0.000 Tc
0.500 0.500 0.500 Cd
```

***

Going by the computed energies, the most stable comes first: arrangement two, arrangement one.

***

Arrangement one

First-principles (PBE) data for a relaxed structure of CdTc3C, as listed in Alexandria.

Total magnetic moment   0.00 μB/f.u.

Cell and atoms, written as POSCAR:
```
CdTc3C
1.0
-0.434 0.716 4.048
-4.108 0.069 -0.452
-0.146 -4.071 0.704
C Tc Cd
1 3 1
Direct
0.000 0.000 0.000 C
0.000 0.500 0.000 Tc
0.000 0.000 0.500 Tc
0.500 0.000 0.000 Tc
0.500 0.500 0.500 Cd
```

***

Arrangement two

First-principles (PBE) data for a relaxed structure of CdTc3C, as listed in Alexandria.

Total magnetic moment   0.00 μB/f.u.

Cell and atoms, written as POSCAR:
```
CdTc3C
1.0
-3.718 -1.848 2.441
-1.559 -2.162 -4.011
2.635 -3.887 1.071
C Tc Cd
1 3 1
Direct
0.500 0.500 0.500 C
0.000 0.500 0.000 Tc
0.000 0.000 0.500 Tc
0.500 0.000 0.000 Tc
0.000 0.000 0.000 Cd
```

***

Going by the computed energies, the most stable comes first: arrangement one, arrangement two.

***

Arrangement one

First-principles (PBE) data for a relaxed structure of Ti3CdC, as listed in Alexandria.

Total magnetic moment   2.23 μB/f.u.

Cell and atoms, written as POSCAR:
```
Ti3CdC
1.0
4.915 0.000 0.000
0.000 4.915 0.000
0.000 0.000 4.915
C Ti Cd
1 3 1
Direct
0.500 0.500 0.500 C
0.000 0.500 0.000 Ti
0.000 0.000 0.500 Ti
0.500 0.000 0.000 Ti
0.000 0.000 0.000 Cd
```

***

Arrangement two

First-principles (PBE) data for a relaxed structure of Ti3CdC, as listed in Alexandria.

Total magnetic moment   0.00 μB/f.u.

Cell and atoms, written as POSCAR:
```
Ti3CdC
1.0
-1.991 4.409 -1.663
-2.832 -1.321 -0.111
-2.240 4.059 8.809
C Cd Ti
2 2 6
Direct
0.529 0.913 0.758 C
0.954 0.413 0.013 C
0.173 0.414 0.380 Cd
0.683 0.914 0.391 Cd
0.749 0.413 0.652 Ti
0.302 0.413 0.867 Ti
0.602 0.413 0.144 Ti
0.791 0.913 0.904 Ti
0.247 0.913 0.629 Ti
0.102 0.913 0.121 Ti
```

***

Arrangement three

First-principles (PBE) data for a relaxed structure of Ti3CdC, as listed in Alexandria.

Total magnetic moment   0.67 μB/f.u.

Cell and atoms, written as POSCAR:
```
Ti3CdC
1.0
-2.998 3.906 5.199
-2.551 -1.696 -0.197
2.847 -4.802 4.465
C Cd Ti
2 2 6
Direct
0.483 0.102 0.754 C
0.228 0.602 0.018 C
0.682 0.102 0.297 Cd
0.029 0.602 0.475 Cd
0.774 0.102 0.732 Ti
0.516 0.602 0.957 Ti
0.936 0.602 0.040 Ti
0.195 0.102 0.815 Ti
0.448 0.602 0.555 Ti
0.263 0.102 0.217 Ti
```

***

Arrangement four

First-principles (PBE) data for a relaxed structure of Ti3CdC, as listed in Alexandria.

Total magnetic moment   1.75 μB/f.u.

Cell and atoms, written as POSCAR:
```
Ti3CdC
1.0
4.459 0.000 0.000
0.000 12.522 0.000
0.000 0.000 6.324
C Ti Cd
4 12 4
Direct
0.500 0.250 0.594 C
0.000 0.750 0.094 C
0.500 0.750 0.406 C
0.000 0.250 0.906 C
0.000 0.867 0.879 Ti
0.500 0.367 0.379 Ti
0.500 0.133 0.379 Ti
0.000 0.367 0.121 Ti
0.000 0.133 0.121 Ti
0.500 0.633 0.621 Ti
0.500 0.867 0.621 Ti
0.000 0.633 0.879 Ti
0.500 0.250 0.909 Ti
0.000 0.750 0.409 Ti
0.500 0.750 0.091 Ti
0.000 0.250 0.591 Ti
0.000 0.000 0.500 Cd
0.500 0.500 0.000 Cd
0.500 0.000 0.000 Cd
0.000 0.500 0.500 Cd
```

***

Going by the computed energies, the most stable comes first: arrangement three, arrangement two, arrangement four, arrangement one.

***

Arrangement one

First-principles (PBE) data for a relaxed structure of Ti3CdC, as listed in Alexandria.

Total magnetic moment   0.00 μB/f.u.

Cell and atoms, written as POSCAR:
```
Ti3CdC
1.0
4.096 0.000 0.000
0.000 4.096 0.000
2.048 2.048 12.929
C Ti Cd
2 6 2
Direct
0.636 0.136 0.728 C
0.864 0.364 0.272 C
0.649 0.891 0.218 Ti
0.109 0.351 0.782 Ti
0.109 0.867 0.782 Ti
0.133 0.891 0.218 Ti
0.328 0.328 0.343 Ti
0.672 0.672 0.657 Ti
0.000 0.000 0.000 Cd
0.250 0.750 0.500 Cd
```

***

Arrangement two

First-principles (PBE) data for a relaxed structure of Ti3CdC, as listed in Alexandria.

Total magnetic moment   0.00 μB/f.u.

Cell and atoms, written as POSCAR:
```
Ti3CdC
1.0
-3.087 4.222 14.380
-3.649 2.479 3.118
-0.309 -4.113 -3.488
C Ti Cd
2 6 2
Direct
0.926 0.957 0.043 C
0.074 0.043 0.957 C
0.820 0.294 0.706 Ti
0.180 0.706 0.294 Ti
0.940 0.419 0.581 Ti
0.060 0.581 0.419 Ti
0.312 0.827 0.173 Ti
0.688 0.173 0.827 Ti
0.564 0.055 0.945 Cd
0.436 0.945 0.055 Cd
```

***

Arrangement three

First-principles (PBE) data for a relaxed structure of Ti3CdC, as listed in Alexandria.

Total magnetic moment   0.00 μB/f.u.

Cell and atoms, written as POSCAR:
```
Ti3CdC
1.0
5.142 0.000 -0.002
0.000 3.118 0.000
-0.957 1.560 9.819
C Cd Ti
2 2 6
Direct
0.424 0.341 0.759 C
0.972 0.714 0.013 C
0.367 0.529 0.382 Cd
0.870 0.026 0.389 Cd
0.569 0.898 0.644 Ti
0.259 0.784 0.872 Ti
0.673 0.651 0.139 Ti
0.763 0.271 0.900 Ti
0.071 0.402 0.636 Ti
0.162 0.158 0.126 Ti
```

***

Going by the computed energies, the most stable comes first: arrangement two, arrangement three, arrangement one.

***

Arrangement one

First-principles (PBE) data for a relaxed structure of Ti3CdC, as listed in Alexandria.

Total magnetic moment   0.00 μB/f.u.

Cell and atoms, written as POSCAR:
```
Ti3CdC
1.0
0.000 5.643 5.643
5.643 0.000 5.643
5.643 5.643 0.000
C Ti Cd
4 12 4
Direct
0.125 0.125 0.125 C
0.125 0.625 0.125 C
0.625 0.125 0.125 C
0.125 0.125 0.625 C
0.816 0.184 0.184 Ti
0.066 0.434 0.434 Ti
0.434 0.434 0.066 Ti
0.434 0.066 0.066 Ti
0.066 0.434 0.066 Ti
0.816 0.184 0.816 Ti
0.434 0.066 0.434 Ti
0.066 0.066 0.434 Ti
0.184 0.816 0.184 Ti
0.184 0.816 0.816 Ti
0.184 0.184 0.816 Ti
0.816 0.816 0.184 Ti
0.625 0.625 0.625 Cd
0.625 0.125 0.625 Cd
0.125 0.625 0.625 Cd
0.625 0.625 0.125 Cd
```

***

Arrangement two

First-principles (PBE) data for a relaxed structure of Ti3CdC, as listed in Alexandria.

Total magnetic moment   0.00 μB/f.u.

Cell and atoms, written as POSCAR:
```
Ti3CdC
1.0
5.282 0.000 0.000
0.000 5.282 0.000
2.641 2.641 6.331
C Ti Cd
2 6 2
Direct
0.000 0.000 0.000 C
0.250 0.750 0.500 C
0.626 0.886 0.227 Ti
0.114 0.374 0.773 Ti
0.114 0.853 0.773 Ti
0.147 0.886 0.227 Ti
0.292 0.292 0.417 Ti
0.708 0.708 0.583 Ti
0.617 0.117 0.766 Cd
0.883 0.383 0.234 Cd
```

***

Going by the computed energies, the most stable comes first: arrangement one, arrangement two.